Crystalline NdZn5Ni2 at its relaxed geometry. Source: Alexandria, functional PBE.

Values from the calculation:
Formation enthalpy at 0 K in eV/atom: -0.273
Electronic total energy in eV/atom: -3.110

a b c (Å): 3.9221 6.2117 6.2117
angles (deg): 71.15 71.60 71.60
Last column: nearest neighbours and their distance in Å.
Positions (direct):
Nd (0.0000, 0.0000, 0.0000)  4 Ni 2.99, 8 Zn 3.35
Zn (0.0000, 0.5000, 0.5000)  2 Ni 2.40
Zn (0.6556, 0.5276, 0.1613)  3 Ni 2.43-2.55, 1 Zn 2.65
Zn (0.3444, 0.4724, 0.8387)  3 Ni 2.43-2.55, 1 Zn 2.65
Zn (0.3444, 0.8387, 0.4724)  3 Ni 2.43-2.55, 1 Zn 2.65
Zn (0.6556, 0.1613, 0.5276)  3 Ni 2.43-2.55, 1 Zn 2.65
Ni (0.7422, 0.7578, 0.7578)  7 Zn 2.40-2.55
Ni (0.2578, 0.2422, 0.2422)  7 Zn 2.40-2.55